Record 1
DFT (PBE) results for a relaxed La4Pr3Sn crystal.

**Energy of formation from the pure elements**: -0.19 eV per atom
**Magnetization**: 0.00 μB per atom
**N(E_F)**: 1.27 states/eV/atom

Cell lengths 10.170, 7.255, 7.291 Å; angles 90.00, 90.00, 90.00 degrees
Atoms (fractional coordinates):
La 0.000 0.001 0.000
La 0.000 0.498 0.503
La 0.249 0.762 0.251
La 0.251 0.238 0.751
La 0.500 0.502 0.003
La 0.500 0.999 0.500
La 0.749 0.238 0.751
La 0.751 0.762 0.251
Pr 0.000 0.500 0.001
Pr 0.250 0.226 0.251
Pr 0.250 0.774 0.751
Pr 0.500 0.500 0.501
Pr 0.750 0.226 0.251
Pr 0.750 0.774 0.751
Sn 0.000 0.999 0.501
Sn 0.500 0.001 0.001

Record 2
DFT (PBE) results for a relaxed Ho2LuSb crystal.

**Energy relative to the lowest polymorph listed for this composition**: 42.8 meV/atom
**Magnetization**: 0.00 μB per atom
**Formation energy from raw total energies**: -0.442 eV/atom
**N(E_F)**: 1.29 states/eV/atom

Cell lengths 4.730, 4.730, 4.752 Å; angles 90.00, 90.00, 90.00 degrees
Atoms (fractional coordinates):
Ho 0.000 0.500 0.000
Ho 0.500 0.000 0.000
Lu 0.000 0.000 0.500
Sb 0.500 0.500 0.500

Record 3
DFT (PBE) results for a relaxed YTm3S3 crystal.

**Magnetization**: 0.00 μB per atom
**Formation energy from raw total energies**: -1.660 eV/atom
**N(E_F)**: 0.37 states/eV/atom

Cell lengths 10.844, 10.844, 5.375 Å; angles 90.00, 90.00, 90.00 degrees
Atoms (fractional coordinates):
Y 0.121 0.121 0.000
Y 0.379 0.621 0.500
Y 0.621 0.379 0.500
Y 0.879 0.879 0.000
Tm 0.120 0.627 0.000
Tm 0.127 0.380 0.500
Tm 0.127 0.873 0.500
Tm 0.373 0.373 0.000
Tm 0.373 0.880 0.000
Tm 0.380 0.127 0.500
Tm 0.620 0.873 0.500
Tm 0.627 0.120 0.000
Tm 0.627 0.627 0.000
Tm 0.873 0.127 0.500
Tm 0.873 0.620 0.500
Tm 0.880 0.373 0.000
S 0.125 0.375 0.000
S 0.125 0.625 0.500
S 0.128 0.872 0.000
S 0.372 0.372 0.500
S 0.375 0.125 0.000
S 0.375 0.875 0.500
S 0.625 0.125 0.500
S 0.625 0.875 0.000
S 0.628 0.628 0.500
S 0.872 0.128 0.000
S 0.875 0.375 0.500
S 0.875 0.625 0.000

Record 4
DFT (PBE) results for a relaxed Ca5Al crystal.

**Energy relative to the lowest polymorph listed for this composition**: 21.7 meV/atom
**Energy of formation from the pure elements**: -0.02 eV per atom
**Magnetization**: 0.00 μB per atom
**N(E_F)**: 0.93 states/eV/atom

Cell lengths 5.355, 14.414, 5.405 Å; angles 90.00, 90.00, 90.00 degrees
Atoms (fractional coordinates):
Ca 0.000 0.000 0.000
Ca 0.000 0.149 0.500
Ca 0.000 0.346 0.000
Ca 0.000 0.654 0.000
Ca 0.000 0.851 0.500
Ca 0.500 0.154 0.000
Ca 0.500 0.351 0.500
Ca 0.500 0.500 0.000
Ca 0.500 0.649 0.500
Ca 0.500 0.846 0.000
Al 0.000 0.500 0.500
Al 0.500 0.000 0.500

Record 5
DFT (PBE) results for a relaxed B3CF crystal.

**Energy relative to the lowest polymorph listed for this composition**: 0.0 meV/atom
**Magnetization**: 0.00 μB per atom
**Formation energy from raw total energies**: 1.675 eV/atom
**N(E_F)**: 0.63 states/eV/atom

Cell lengths 3.450, 3.450, 3.450 Å; angles 90.00, 90.00, 90.00 degrees
Atoms (fractional coordinates):
B 0.000 0.000 0.500
B 0.000 0.500 0.000
B 0.500 0.000 0.000
C 0.000 0.000 0.000
F 0.500 0.500 0.500

Record 6
DFT (PBE) results for a relaxed CaHfFe2 crystal.

**Energy of formation from the pure elements**: 0.73 eV per atom
**Magnetization**: 0.75 μB per atom
**N(E_F)**: 1.32 states/eV/atom

Cell lengths 7.189, 7.189, 5.936 Å; angles 90.00, 90.00, 90.00 degrees
Atoms (fractional coordinates):
Ca 0.000 0.000 0.000
Ca 0.000 0.500 0.250
Ca 0.500 0.000 0.750
Ca 0.500 0.500 0.500
Hf 0.000 0.000 0.500
Hf 0.000 0.500 0.750
Hf 0.500 0.000 0.250
Hf 0.500 0.500 0.000
Fe 0.227 0.750 0.625
Fe 0.250 0.227 0.375
Fe 0.250 0.273 0.875
Fe 0.273 0.750 0.125
Fe 0.727 0.250 0.125
Fe 0.750 0.727 0.875
Fe 0.750 0.773 0.375
Fe 0.773 0.250 0.625

Record 7
DFT (PBE) results for a relaxed Ce8Te3Pb4 crystal.

**Magnetization**: 0.30 μB per atom
**Formation energy from raw total energies**: -0.640 eV/atom
**N(E_F)**: 3.70 states/eV/atom

Cell lengths 9.022, 9.022, 8.960 Å; angles 119.70, 119.70, 90.07 degrees
Atoms (fractional coordinates):
Ce 0.248 0.248 0.001
Ce 0.249 0.751 0.000
Ce 0.251 0.749 0.500
Ce 0.252 0.252 0.504
Ce 0.748 0.748 0.496
Ce 0.749 0.251 0.500
Ce 0.751 0.249 0.000
Ce 0.752 0.752 0.999
Te 0.000 0.500 0.500
Te 0.500 0.000 0.500
Te 0.500 0.500 0.500
Pb 0.000 0.000 0.500
Pb 0.000 0.500 0.000
Pb 0.500 0.000 0.000
Pb 0.500 0.500 0.000

Record 8
DFT (PBE) results for a relaxed Ge3Pd3Pb crystal.

**Energy of formation from the pure elements**: 0.01 eV per atom
**Magnetization**: 0.00 μB per atom
**N(E_F)**: 0.62 states/eV/atom

Cell lengths 6.896, 6.896, 6.896 Å; angles 90.00, 90.00, 90.00 degrees
Atoms (fractional coordinates):
Ge 0.000 0.250 0.500
Ge 0.000 0.750 0.500
Ge 0.250 0.500 0.000
Ge 0.500 0.000 0.250
Ge 0.500 0.000 0.750
Ge 0.750 0.500 0.000
Pd 0.000 0.500 0.250
Pd 0.000 0.500 0.750
Pd 0.250 0.000 0.500
Pd 0.500 0.250 0.000
Pd 0.500 0.750 0.000
Pd 0.750 0.000 0.500
Pb 0.000 0.000 0.000
Pb 0.500 0.500 0.500

Record 9
DFT (PBE) results for a relaxed Ag3I2Cl8 crystal.

**Magnetization**: 0.00 μB per atom
**Formation energy from raw total energies**: -0.255 eV/atom
**N(E_F)**: 0.57 states/eV/atom

Cell lengths 7.483, 7.483, 20.800 Å; angles 102.91, 102.91, 71.59 degrees
Atoms (fractional coordinates):
Ag 0.151 0.530 0.582
Ag 0.229 0.771 0.750
Ag 0.470 0.849 0.918
Ag 0.530 0.151 0.082
Ag 0.771 0.229 0.250
Ag 0.849 0.470 0.418
I 0.062 0.578 0.175
I 0.422 0.938 0.325
I 0.578 0.062 0.675
I 0.938 0.422 0.825
Cl 0.028 0.695 0.485
Cl 0.140 0.219 0.316
Cl 0.219 0.140 0.816
Cl 0.237 0.678 0.861
Cl 0.264 0.347 0.675
Cl 0.305 0.972 0.015
Cl 0.322 0.763 0.639
Cl 0.347 0.264 0.175
Cl 0.653 0.736 0.825
Cl 0.678 0.237 0.361
Cl 0.695 0.028 0.985
Cl 0.736 0.653 0.325
Cl 0.763 0.322 0.139
Cl 0.781 0.860 0.184
Cl 0.860 0.781 0.684
Cl 0.972 0.305 0.515

Record 10
DFT (PBE) results for a relaxed YMg2In6 crystal.

**Energy of formation from the pure elements**: -0.07 eV per atom
**Magnetization**: 0.00 μB per atom
**N(E_F)**: 0.31 states/eV/atom

Cell lengths 4.789, 7.114, 7.114 Å; angles 90.31, 90.00, 90.00 degrees
Atoms (fractional coordinates):
Y 0.000 0.000 0.000
Mg 0.500 0.292 0.628
Mg 0.500 0.628 0.292
In 0.000 0.032 0.541
In 0.000 0.541 0.032
In 0.000 0.565 0.565
In 0.500 0.025 0.307
In 0.500 0.307 0.025
In 0.500 0.775 0.775

Record 11
DFT (PBE) results for a relaxed SrTi2Ir2 crystal.

**Energy relative to the lowest polymorph listed for this composition**: 204.9 meV/atom
**Energy of formation from the pure elements**: -0.44 eV per atom
**Magnetization**: 0.00 μB per atom
**N(E_F)**: 1.07 states/eV/atom

Cell lengths 7.887, 7.887, 2.913 Å; angles 90.00, 90.00, 90.00 degrees
Atoms (fractional coordinates):
Sr 0.000 0.000 0.000
Sr 0.500 0.500 0.000
Ti 0.139 0.361 0.000
Ti 0.361 0.861 0.000
Ti 0.639 0.139 0.000
Ti 0.861 0.639 0.000
Ir 0.147 0.647 0.500
Ir 0.353 0.147 0.500
Ir 0.647 0.853 0.500
Ir 0.853 0.353 0.500

Record 12
DFT (PBE) results for a relaxed BeSiTc crystal.

**Energy relative to the lowest polymorph listed for this composition**: 26.1 meV/atom
**Magnetization**: 0.00 μB per atom
**Formation energy from raw total energies**: -0.281 eV/atom
**N(E_F)**: 0.43 states/eV/atom

Cell lengths 3.043, 12.401, 3.807 Å; angles 90.00, 90.00, 90.00 degrees
Atoms (fractional coordinates):
Be 0.000 0.247 0.250
Be 0.000 0.753 0.750
Be 0.500 0.253 0.750
Be 0.500 0.747 0.250
Si 0.000 0.423 0.750
Si 0.000 0.577 0.250
Si 0.500 0.077 0.250
Si 0.500 0.923 0.750
Tc 0.000 0.096 0.750
Tc 0.000 0.904 0.250
Tc 0.500 0.404 0.250
Tc 0.500 0.596 0.750

What did the ninth record say?
DFT (PBE) results for a relaxed Ag3I2Cl8 crystal.

**Magnetization**: 0.00 μB per atom
**Formation energy from raw total energies**: -0.255 eV/atom
**N(E_F)**: 0.57 states/eV/atom

Cell lengths 7.483, 7.483, 20.800 Å; angles 102.91, 102.91, 71.59 degrees
Atoms (fractional coordinates):
Ag 0.151 0.530 0.582
Ag 0.229 0.771 0.750
Ag 0.470 0.849 0.918
Ag 0.530 0.151 0.082
Ag 0.771 0.229 0.250
Ag 0.849 0.470 0.418
I 0.062 0.578 0.175
I 0.422 0.938 0.325
I 0.578 0.062 0.675
I 0.938 0.422 0.825
Cl 0.028 0.695 0.485
Cl 0.140 0.219 0.316
Cl 0.219 0.140 0.816
Cl 0.237 0.678 0.861
Cl 0.264 0.347 0.675
Cl 0.305 0.972 0.015
Cl 0.322 0.763 0.639
Cl 0.347 0.264 0.175
Cl 0.653 0.736 0.825
Cl 0.678 0.237 0.361
Cl 0.695 0.028 0.985
Cl 0.736 0.653 0.325
Cl 0.763 0.322 0.139
Cl 0.781 0.860 0.184
Cl 0.860 0.781 0.684
Cl 0.972 0.305 0.515

> Which of these has the lowest N(E_F)?

YMg2In6

Copy entry 1 word for word.
DFT (PBE) results for a relaxed La4Pr3Sn crystal.

**Energy of formation from the pure elements**: -0.19 eV per atom
**Magnetization**: 0.00 μB per atom
**N(E_F)**: 1.27 states/eV/atom

Cell lengths 10.170, 7.255, 7.291 Å; angles 90.00, 90.00, 90.00 degrees
Atoms (fractional coordinates):
La 0.000 0.001 0.000
La 0.000 0.498 0.503
La 0.249 0.762 0.251
La 0.251 0.238 0.751
La 0.500 0.502 0.003
La 0.500 0.999 0.500
La 0.749 0.238 0.751
La 0.751 0.762 0.251
Pr 0.000 0.500 0.001
Pr 0.250 0.226 0.251
Pr 0.250 0.774 0.751
Pr 0.500 0.500 0.501
Pr 0.750 0.226 0.251
Pr 0.750 0.774 0.751
Sn 0.000 0.999 0.501
Sn 0.500 0.001 0.001

Repeat the first record exactly.
DFT (PBE) results for a relaxed La4Pr3Sn crystal.

**Energy of formation from the pure elements**: -0.19 eV per atom
**Magnetization**: 0.00 μB per atom
**N(E_F)**: 1.27 states/eV/atom

Cell lengths 10.170, 7.255, 7.291 Å; angles 90.00, 90.00, 90.00 degrees
Atoms (fractional coordinates):
La 0.000 0.001 0.000
La 0.000 0.498 0.503
La 0.249 0.762 0.251
La 0.251 0.238 0.751
La 0.500 0.502 0.003
La 0.500 0.999 0.500
La 0.749 0.238 0.751
La 0.751 0.762 0.251
Pr 0.000 0.500 0.001
Pr 0.250 0.226 0.251
Pr 0.250 0.774 0.751
Pr 0.500 0.500 0.501
Pr 0.750 0.226 0.251
Pr 0.750 0.774 0.751
Sn 0.000 0.999 0.501
Sn 0.500 0.001 0.001